A relaxed structure of NaCe3Pt8. Source: Alexandria, functional PBE.

- Energy relative to the elements: -11.2 eV/f.u.
- Final energy: -78.62 eV for the cell shown
- D(E_F): 17.1 states/eV/f.u.
- M_tot: 1.74 μB/cell

a = 9.472 Å, b = 9.472 Å, c = 9.472 Å
α = 33.46°, β = 33.46°, γ = 33.46°
Atoms (fractional coordinates):
Na: 0.000 0.000 0.000
Ce: 0.368 0.368 0.368
Ce: 0.495 0.495 0.495
Ce: 0.878 0.878 0.878
Pt: 0.185 0.185 0.185
Pt: 0.436 0.436 0.932
Pt: 0.436 0.932 0.436
Pt: 0.436 0.935 0.935
Pt: 0.685 0.685 0.685
Pt: 0.932 0.436 0.436
Pt: 0.935 0.436 0.935
Pt: 0.935 0.935 0.436

A relaxed structure of Sc2BeSi. Source: Alexandria, functional PBE.

- Formation energy without anion corrections: -0.02 eV per atom
- Offset from the most stable computed form: 482 meV/atom
- Final energy: -21.89 eV for the cell shown
- D(E_F): 3.8 states/eV/f.u.
- M_tot: 0.00 μB/cell

a = 3.128 Å, b = 4.458 Å, c = 5.366 Å
α = 90.00°, β = 90.00°, γ = 90.00°
Atoms (fractional coordinates):
Sc: 0.000 0.000 0.000
Sc: 0.500 0.500 0.496
Be: 0.000 0.000 0.500
Si: 0.500 0.500 0.996

A relaxed structure of Cr2NiOs. Source: Alexandria, functional PBE.

- Energy relative to the elements: 0.7 eV/f.u.
- Final energy: -35.56 eV for the cell shown
- D(E_F): 4.5 states/eV/f.u.
- M_tot: 4.59 μB/cell

a = 2.947 Å, b = 2.947 Å, c = 5.858 Å
α = 90.00°, β = 90.00°, γ = 90.00°
Atoms (fractional coordinates):
Cr: 0.000 0.000 0.237
Cr: 0.000 0.000 0.763
Ni: 0.500 0.500 0.000
Os: 0.500 0.500 0.500

A relaxed structure of YTm3Te2. Source: Alexandria, functional PBE.

- Formation energy without anion corrections: -0.80 eV per atom
- Final energy: -61.94 eV for the cell shown
- D(E_F): 4.8 states/eV/f.u.
- M_tot: 0.00 μB/cell

a = 8.313 Å, b = 8.313 Å, c = 11.272 Å
α = 109.03°, β = 109.03°, γ = 28.39°
Atoms (fractional coordinates):
Y: 0.119 0.119 0.048
Y: 0.881 0.881 0.952
Tm: 0.059 0.059 0.404
Tm: 0.284 0.284 0.622
Tm: 0.375 0.375 0.339
Tm: 0.625 0.625 0.661
Tm: 0.716 0.716 0.378
Tm: 0.941 0.941 0.596
Te: 0.229 0.229 0.858
Te: 0.486 0.486 0.832
Te: 0.514 0.514 0.168
Te: 0.771 0.771 0.142